A relaxed structure of Zr5Be, computed with PBE.

Total magnetic moment   0.00 μB/f.u.
Formation energy   129 meV per atom
Total energy   -7.62 eV per atom

a = 8.210 Å, b = 8.210 Å, c = 5.016 Å
α = 90.00°, β = 90.00°, γ = 157.93°
Positions (direct):
Zr (0.336, 0.664, 0.000)
Zr (0.646, 0.354, 0.000)
Zr (0.458, 0.542, 0.500)
Zr (0.781, 0.219, 0.500)
Zr (0.114, 0.886, 0.500)
Be (0.999, 0.001, 0.000)

***

A relaxed structure of Co3Sb5, computed with PBE.

Total magnetic moment   0.00 μB/f.u.
Total energy   -5.22 eV per atom

a = 8.037 Å, b = 9.766 Å, c = 6.349 Å
α = 98.05°, β = 89.48°, γ = 139.11°
Positions (direct):
Sb (0.221, 0.767, 0.551)
Sb (0.778, 0.233, 0.449)
Sb (0.846, 0.175, 0.916)
Sb (0.153, 0.825, 0.084)
Sb (0.598, 0.436, 0.326)
Sb (0.401, 0.564, 0.674)
Sb (0.616, 0.367, 0.833)
Sb (0.383, 0.633, 0.167)
Sb (0.004, 0.041, 0.268)
Sb (0.995, 0.959, 0.732)
Co (0.723, 0.690, 0.991)
Co (0.276, 0.310, 0.009)
Co (0.336, 0.080, 0.477)
Co (0.663, 0.920, 0.523)
Co (0.063, 0.529, 0.817)
Co (0.936, 0.471, 0.183)

***

A relaxed structure of VRe2Ru, computed with PBE.

Total magnetic moment   0.54 μB/f.u.
Formation energy   673 meV per atom
Total energy   -10.15 eV per atom

a = 3.641 Å, b = 3.641 Å, c = 9.869 Å
α = 79.37°, β = 79.37°, γ = 90.00°
Site moments in Bohr magnetons follow the coordinates.
Positions (direct):
Re (0.600, 0.125, 0.250)  0.02
Re (0.150, 0.625, 0.250)  0.02
Re (0.375, 0.400, 0.750)  0.02
Re (0.875, 0.850, 0.750)  0.02
Ru (0.000, 0.000, 0.000)  -0.05
Ru (0.750, 0.250, 0.500)  -0.05
V (0.500, 0.500, 0.000)  0.50
V (0.250, 0.750, 0.500)  0.50